Entry 1:
VASP calculation (PBE-GGA) on a geometry-optimized LiMoS2N structure.

Structure (POSCAR):
```
LiMoS2N
1.0
4.829 0.000 0.000
0.000 4.829 0.000
0.000 0.000 3.816
Li Mo S N
1 1 2 1
Direct
0.000 0.000 0.000
0.500 0.500 0.500
0.000 0.500 0.500
0.500 0.000 0.500
0.500 0.500 0.000
```

**Symmetry**: No. 123


Entry 2:
VASP calculation (PBE-GGA) on a geometry-optimized Pm2Pr3Dy8 structure.

Structure (POSCAR):
```
Pm2Pr3Dy8
1.0
8.145 0.000 0.000
0.000 5.245 0.000
-2.632 0.000 10.397
Pm Pr Dy
2 3 8
Direct
0.174 0.000 0.095
0.826 0.000 0.905
0.225 0.500 0.574
0.500 0.000 0.500
0.775 0.500 0.426
0.040 0.000 0.352
0.117 0.500 0.881
0.337 0.500 0.272
0.389 0.000 0.818
0.611 0.000 0.182
0.663 0.500 0.728
0.883 0.500 0.119
0.960 0.000 0.648
```

**Symmetry**: No. 10
**ΔH_f (0 K)**: 0.158 eV/atom


Entry 3:
VASP calculation (PBE-GGA) on a geometry-optimized Sc3SiRh structure.

Structure (POSCAR):
```
Sc3SiRh
1.0
4.910 0.000 0.000
0.000 4.910 0.000
0.000 0.000 4.910
Sc Si Rh
3 1 1
Direct
0.000 0.000 0.500
0.000 0.500 0.000
0.500 0.000 0.000
0.500 0.500 0.500
0.000 0.000 0.000
```

**Symmetry**: No. 221


Entry 4:
VASP calculation (PBE-GGA) on a geometry-optimized NbCrTc3 structure.

Structure (POSCAR):
```
NbCrTc3
1.0
4.392 0.000 0.000
0.000 4.392 0.000
0.000 0.000 4.392
Nb Cr Tc
1 1 3
Direct
0.000 0.000 0.000
0.500 0.500 0.500
0.000 0.500 0.500
0.500 0.000 0.500
0.500 0.500 0.000
```

**Symmetry**: No. 221
**ΔH_f (0 K)**: 0.933 eV/atom


Entry 5:
VASP calculation (PBE-GGA) on a geometry-optimized Ho2TiS6 structure.

Structure (POSCAR):
```
Ho2TiS6
1.0
6.464 0.000 0.000
0.000 7.025 0.000
-5.510 0.000 8.196
Ho Ti S
4 2 12
Direct
0.202 0.129 0.230
0.202 0.371 0.730
0.798 0.629 0.270
0.798 0.871 0.770
0.500 0.000 0.000
0.500 0.500 0.500
0.117 0.164 0.925
0.117 0.336 0.425
0.295 0.687 0.964
0.295 0.813 0.464
0.374 0.010 0.722
0.374 0.490 0.222
0.626 0.510 0.778
0.626 0.990 0.278
0.705 0.187 0.536
0.705 0.313 0.036
0.883 0.664 0.575
0.883 0.836 0.075
```

**Symmetry**: No. 14


Entry 6:
VASP calculation (PBE-GGA) on a geometry-optimized Pm3Nd8Y structure.

Structure (POSCAR):
```
Pm3Nd8Y
1.0
6.342 0.000 0.000
1.040 6.280 0.000
0.015 3.214 10.511
Pm Nd Y
3 8 1
Direct
0.000 0.000 0.000
0.249 0.499 0.251
0.751 0.501 0.749
0.000 0.000 0.334
0.000 0.000 0.666
0.250 0.500 0.917
0.251 0.501 0.583
0.499 0.999 0.168
0.501 0.001 0.832
0.749 0.499 0.417
0.750 0.500 0.083
0.500 0.000 0.500
```

**Symmetry**: No. 2
**ΔH_f (0 K)**: 0.011 eV/atom


Entry 7:
VASP calculation (PBE-GGA) on a geometry-optimized NpMnTc2 structure.

Structure (POSCAR):
```
NpMnTc2
1.0
2.318 1.338 3.619
-2.318 1.338 3.619
0.000 -2.676 3.619
Np Mn Tc
1 1 2
Direct
0.000 0.000 0.000
0.500 0.500 0.500
0.222 0.222 0.222
0.778 0.778 0.778
```

**Symmetry**: No. 166
**ΔH_f (0 K)**: 0.180 eV/atom


Entry 8:
VASP calculation (PBE-GGA) on a geometry-optimized SrCoCu3 structure.

Structure (POSCAR):
```
SrCoCu3
1.0
5.195 0.000 0.000
0.000 5.195 0.000
0.000 0.000 5.195
Sr Co Cu
1 1 3
Direct
0.000 0.000 0.000
0.500 0.500 0.500
0.000 0.000 0.500
0.000 0.500 0.000
0.500 0.000 0.000
```

**Symmetry**: No. 221
**ΔH_f (0 K)**: 1.881 eV/atom


Entry 9:
VASP calculation (PBE-GGA) on a geometry-optimized Ac2InGeO6 structure.

Structure (POSCAR):
```
Ac2InGeO6
1.0
5.841 0.000 0.000
-2.907 5.091 0.000
-0.007 -3.370 4.875
Ac In Ge O
2 1 1 6
Direct
0.249 0.496 0.235
0.751 0.504 0.765
0.000 0.000 0.500
0.500 0.000 0.000
0.205 0.893 0.180
0.266 0.526 0.670
0.313 0.106 0.816
0.687 0.894 0.184
0.734 0.474 0.330
0.795 0.107 0.820
```

**Symmetry**: No. 2


Entry 10:
VASP calculation (PBE-GGA) on a geometry-optimized LiNi5Ge3 structure.

Structure (POSCAR):
```
LiNi5Ge3
1.0
7.048 0.000 0.000
-3.524 6.104 0.000
0.000 0.000 5.084
Li Ni Ge
2 10 6
Direct
0.000 0.000 0.000
0.000 0.000 0.500
0.000 0.328 0.250
0.000 0.672 0.750
0.328 0.000 0.250
0.328 0.328 0.750
0.333 0.667 0.000
0.333 0.667 0.500
0.667 0.333 0.000
0.667 0.333 0.500
0.672 0.000 0.750
0.672 0.672 0.250
0.000 0.342 0.750
0.000 0.658 0.250
0.342 0.000 0.750
0.342 0.342 0.250
0.658 0.000 0.250
0.658 0.658 0.750
```

**Symmetry**: No. 193
**ΔH_f (0 K)**: -0.298 eV/atom


Entry 11:
VASP calculation (PBE-GGA) on a geometry-optimized CdPbSN2 structure.

Structure (POSCAR):
```
CdPbSN2
1.0
4.324 0.000 0.000
0.000 4.324 0.000
0.000 0.000 5.617
Cd Pb S N
1 1 1 2
Direct
0.000 0.000 0.000
0.500 0.500 0.500
0.500 0.500 0.000
0.000 0.500 0.500
0.500 0.000 0.500
```

**Symmetry**: No. 123


Entry 12:
VASP calculation (PBE-GGA) on a geometry-optimized Ba2TlC structure.

Structure (POSCAR):
```
Ba2TlC
1.0
0.000 3.992 3.992
3.992 0.000 3.992
3.992 3.992 0.000
Ba Tl C
2 1 1
Direct
0.250 0.250 0.250
0.750 0.750 0.750
0.000 0.000 0.000
0.500 0.500 0.500
```

**Symmetry**: No. 225
**ΔH_f (0 K)**: 0.805 eV/atom


Taking the records one at a time from the top gives theoretical density values of 3.38 7.52 3.73 8.60 5.09 6.65 12.03 3.99 8.45 7.87 6.00 6.41 g cm⁻³.
Taking the records one at a time from the top gives D(E_F) values of 3.97 19.89 7.02 4.49 4.13 18.51 8.18 3.15 1.11 8.93 3.18 3.37 states/eV per cell.
Taking the records one at a time from the top gives energy values of -6.065 -4.508 -6.477 -9.225 -6.039 -4.894 -10.531 -2.335 -6.894 -5.262 -3.601 -3.054 eV per atom.